## LaGa6Ag12 (GGA-PBE)

Data for an optimized crystal structure of LaGa6Ag12.

Properties
Size of the total moment, μB per formula unit: 0.0
Total energy, eV per atom: -3.04
Energy relative to the elements, eV/atom: -0.022
Calculated volume, Å³ per cell: 1115.29

Structure (CIF):
```
data_LaGa6Ag12
_chemical_formula_sum 'La3 Ga18 Ag36'
_cell_length_a 11.8901
_cell_length_b 11.8901
_cell_length_c 9.1093
_cell_angle_alpha 90.00
_cell_angle_beta 90.00
_cell_angle_gamma 120.00
_space_group_name_H-M_alt 'R -3 m'
_space_group_IT_number 166
_space_group_name_Hall '-R 3 2"'
loop_
_atom_site_label
_atom_site_type_symbol
_atom_site_fract_x
_atom_site_fract_y
_atom_site_fract_z
_atom_site_occupancy
La1 La 0.0000 0.0000 0.0000 1
Ga1 Ga 0.0395 0.5198 0.2545 1
Ag1 Ag 0.0000 0.3828 0.5000 1
Ag2 Ag 0.0826 0.1651 0.3204 1
```